(1)
Material: Tb3YCu2
Method: DFT, PBE-GGA
State: relaxed

Unit cell a=6.8188 b=13.4505 c=7.2076 alpha=90.00 beta=90.00 gamma=90.00
With the nearest neighbours (Å) after each atom.
Space group Ibam (No. 72)
Symmetry-distinct sites (fractional):
1 Tb 0.0000 0.0000 0.2500 [4 per cell]  4 Cu 2.98
2 Tb 0.0000 0.2656 0.2500 [8 per cell]  4 Cu 2.83-2.96
3 Y 0.0000 0.5000 0.0000 [4 per cell]  2 Cu 2.76
4 Cu 0.2071 0.1417 0.0000 [8 per cell]  1 Y 2.76, 6 Tb 2.83-2.98

## Properties
- Total energy: -4.734 eV/atom
- Offset from the most stable computed form: 183 meV per atom

(2)
Material: TbYCu10
Method: DFT, PBE-GGA
State: relaxed

Unit cell a=4.0992 b=5.0626 c=8.6910 alpha=90.00 beta=90.00 gamma=90.00
With the nearest neighbours (Å) after each atom.
Space group Pmmm (No. 47)
Symmetry-distinct sites (fractional):
1 Tb 0.0000 0.0000 0.0000 [1 per cell]  6 Cu 2.90-2.92
2 Y 0.0000 0.5000 0.5000 [1 per cell]  14 Cu 2.90-3.24
3 Cu 0.0000 0.0000 0.3332 [2 per cell]  6 Cu 2.51-2.52
4 Cu 0.0000 0.5000 0.1664 [2 per cell]  6 Cu 2.51-2.52
5 Cu 0.5000 0.0000 0.5000 [1 per cell]  8 Cu 2.51
6 Cu 0.5000 0.2502 0.2501 [4 per cell]  8 Cu 2.51-2.53
7 Cu 0.5000 0.5000 0.0000 [1 per cell]  8 Cu 2.51

## Properties
- Total energy: -4.529 eV/atom

(3)
Material: TbY2Cu6
Method: DFT, PBE-GGA
State: relaxed

Unit cell a=7.3287 b=7.3287 c=3.5934 alpha=90.00 beta=90.00 gamma=120.00
With the nearest neighbours (Å) after each atom.
Space group P6/mmm (No. 191)
Symmetry-distinct sites (fractional):
1 Tb 0.0000 0.0000 0.0000 [1 per cell]  12 Cu 3.03
2 Y 0.3333 0.6667 0.0000 [2 per cell]  12 Cu 3.03
3 Cu 0.0000 0.3332 0.5000 [6 per cell]  3 Cu 2.44

## Properties
- Total energy: -4.936 eV/atom

(4)
Material: TbYZnCu
Method: DFT, PBE-GGA
State: relaxed

Unit cell a=3.5287 b=3.5287 c=7.0877 alpha=90.00 beta=90.00 gamma=90.00
With the nearest neighbours (Å) after each atom.
Space group P4mm (No. 99)
Symmetry-distinct sites (fractional):
1 Tb 0.0000 0.0000 0.0000 [1 per cell]  4 Cu 3.02, 4 Zn 3.09
2 Y 0.0000 0.0000 0.4868 [1 per cell]  4 Cu 3.04, 4 Zn 3.09
3 Zn 0.5000 0.5000 0.7436 [1 per cell]  4 Tb 3.09, 4 Y 3.09
4 Cu 0.5000 0.5000 0.2410 [1 per cell]  4 Tb 3.02, 4 Y 3.04

## Properties
- Total energy: -4.408 eV/atom
- Offset from the most stable computed form: 0 meV per atom

(5)
Material: TbYZnCu
Method: DFT, PBE-GGA
State: relaxed

Unit cell a=7.0667 b=7.0667 c=7.0667 alpha=90.00 beta=90.00 gamma=90.00
With the nearest neighbours (Å) after each atom.
Space group F-43m (No. 216)
Symmetry-distinct sites (fractional):
1 Tb 0.0000 0.0000 0.0000 [4 per cell]  4 Cu 3.06, 4 Zn 3.06
2 Y 0.0000 0.0000 0.5000 [4 per cell]  4 Cu 3.06, 4 Zn 3.06
3 Zn 0.2500 0.2500 0.7500 [4 per cell]  4 Tb 3.06, 4 Y 3.06
4 Cu 0.2500 0.2500 0.2500 [4 per cell]  4 Tb 3.06, 4 Y 3.06

## Properties
- Total energy: -4.401 eV/atom
- Offset from the most stable computed form: 7 meV per atom

(6)
Material: Tb2Zn5Cu5
Method: DFT, PBE-GGA
State: relaxed

Unit cell a=4.1835 b=5.1652 c=8.8975 alpha=90.00 beta=90.00 gamma=90.00
With the nearest neighbours (Å) after each atom.
Space group Pmmm (No. 47)
Symmetry-distinct sites (fractional):
1 Tb 0.0000 0.0000 0.0000 [1 per cell]  6 Cu 2.96-2.98, 8 Zn 3.29
2 Tb 0.0000 0.5000 0.5000 [1 per cell]  6 Cu 2.97-3.00, 4 Zn 3.32
3 Zn 0.5000 0.0000 0.5000 [1 per cell]  4 Cu 2.56, 4 Zn 2.61
4 Zn 0.5000 0.2507 0.2453 [4 per cell]  5 Cu 2.53-2.59, 3 Zn 2.58-2.61
5 Cu 0.0000 0.0000 0.3346 [2 per cell]  6 Zn 2.56-2.59
6 Cu 0.0000 0.5000 0.1632 [2 per cell]  2 Cu 2.55, 4 Zn 2.56
7 Cu 0.5000 0.5000 0.0000 [1 per cell]  4 Zn 2.53, 4 Cu 2.55

## Properties
- Total energy: -3.302 eV/atom
- Offset from the most stable computed form: 0 meV per atom

(7)
Material: Tb2Zn7Cu
Method: DFT, PBE-GGA
State: relaxed

Unit cell a=4.0760 b=4.0760 c=10.8778 alpha=90.00 beta=90.00 gamma=90.00
With the nearest neighbours (Å) after each atom.
Space group P-4m2 (No. 115)
Symmetry-distinct sites (fractional):
1 Tb 0.0000 0.5000 0.2478 [2 per cell]  14 Zn 3.13-3.42, 2 Cu 3.38
2 Zn 0.0000 0.0000 0.0000 [1 per cell]  4 Zn 2.51
3 Zn 0.0000 0.0000 0.5000 [1 per cell]  4 Zn 2.54
4 Zn 0.0000 0.5000 0.6395 [2 per cell]  5 Zn 2.45-2.54
5 Zn 0.0000 0.5000 0.8648 [2 per cell]  3 Zn 2.45-2.51, 2 Cu 2.51
6 Zn 0.5000 0.5000 0.5000 [1 per cell]  4 Zn 2.54
7 Cu 0.5000 0.5000 0.0000 [1 per cell]  4 Zn 2.51

## Properties
- Total energy: -2.509 eV/atom

(8)
Material: TbZn8Cu2
Method: DFT, PBE-GGA
State: relaxed

Unit cell a=5.2264 b=5.2264 c=8.3662 alpha=90.00 beta=90.00 gamma=90.00
With the nearest neighbours (Å) after each atom.
Space group P4/mmm (No. 123)
Symmetry-distinct sites (fractional):
1 Tb 0.0000 0.0000 0.0000 [1 per cell]  8 Zn 3.06
2 Zn 0.2522 0.2522 0.2905 [8 per cell]  2 Cu 2.55, 4 Zn 2.59-2.64
3 Cu 0.0000 0.5000 0.5000 [2 per cell]  8 Zn 2.55

## Properties
- Total energy: -1.880 eV/atom

(9)
Material: TbZn7Cu5
Method: DFT, PBE-GGA
State: relaxed

Unit cell a=4.9649 b=8.8158 c=8.7254 alpha=90.00 beta=90.00 gamma=90.00
With the nearest neighbours (Å) after each atom.
Space group Imm2 (No. 44)
Symmetry-distinct sites (fractional):
1 Tb 0.0000 0.0000 0.0000 [2 per cell]  10 Zn 3.00-3.17, 6 Cu 3.10-3.28
2 Zn 0.0000 0.0000 0.3437 [2 per cell]  3 Zn 2.66-2.85, 6 Cu 2.68-2.73
3 Zn 0.0000 0.0000 0.6486 [2 per cell]  4 Cu 2.66, 5 Zn 2.66-2.87
4 Zn 0.0000 0.2875 0.4932 [4 per cell]  5 Cu 2.51-2.68, 3 Zn 2.68-2.76
5 Zn 0.0000 0.3494 0.9868 [4 per cell]  5 Cu 2.63-2.74, 4 Zn 2.66-2.83
6 Zn 0.0000 0.5000 0.2732 [2 per cell]  4 Cu 2.55, 6 Zn 2.68-2.83
7 Cu 0.0000 0.5000 0.7128 [2 per cell]  4 Cu 2.54, 6 Zn 2.68-2.74
8 Cu 0.2494 0.2496 0.2408 [8 per cell]  3 Cu 2.48-2.54, 7 Zn 2.51-2.69

## Properties
- Total energy: -2.805 eV/atom

(10)
Material: TbZn11Cu
Method: DFT, PBE-GGA
State: relaxed

Unit cell a=5.1929 b=12.5038 c=6.7625 alpha=90.00 beta=112.41 gamma=90.00
With the nearest neighbours (Å) after each atom.
Space group C2/m (No. 12)
Symmetry-distinct sites (fractional):
1 Tb 0.0000 0.0000 0.0000 [2 per cell]  18 Zn 3.12-3.38, 2 Cu 3.39
2 Zn 0.0000 0.0000 0.5000 [2 per cell]  8 Zn 2.58-2.72, 2 Cu 2.60
3 Zn 0.1053 0.3920 0.2199 [8 per cell]  1 Cu 2.55, 8 Zn 2.58-2.85
4 Zn 0.1874 0.1749 0.3558 [8 per cell]  7 Zn 2.61-2.85, 1 Cu 2.68
5 Zn 0.2500 0.2500 0.0000 [4 per cell]  10 Zn 2.58-2.77
6 Cu 0.0000 0.5000 0.5000 [2 per cell]  10 Zn 2.55-2.68

## Properties
- Total energy: -1.937 eV/atom

(11)
Material: TbZn4Cu
Method: DFT, PBE-GGA
State: relaxed

Unit cell a=4.0211 b=15.3727 c=6.7231 alpha=90.00 beta=90.00 gamma=90.00
With the nearest neighbours (Å) after each atom.
Space group Cmcm (No. 63)
Symmetry-distinct sites (fractional):
1 Tb 0.0000 0.1225 0.2500 [4 per cell]  2 Cu 2.98, 11 Zn 3.01-3.33
2 Zn 0.0000 0.0731 0.7500 [4 per cell]  1 Cu 2.48
3 Zn 0.0000 0.3225 0.0590 [8 per cell]  3 Cu 2.48-2.54, 2 Zn 2.57-2.76
4 Zn 0.0000 0.5000 0.0000 [4 per cell]  6 Zn 2.76-2.85
5 Cu 0.0000 0.2342 0.7500 [4 per cell]  7 Zn 2.48-2.54

## Properties
- Total energy: -2.540 eV/atom
- Offset from the most stable computed form: 0 meV per atom

(12)
Material: Tb5Zn4Cu
Method: DFT, PBE-GGA
State: relaxed

Unit cell a=3.5629 b=3.5629 c=17.8148 alpha=90.00 beta=90.00 gamma=90.00
With the nearest neighbours (Å) after each atom.
Space group P4/mmm (No. 123)
Symmetry-distinct sites (fractional):
1 Tb 0.0000 0.0000 0.0000 [1 per cell]  8 Zn 3.10
2 Tb 0.0000 0.0000 0.2016 [2 per cell]  8 Zn 3.08-3.09
3 Tb 0.0000 0.0000 0.4036 [2 per cell]  4 Cu 3.05, 4 Zn 3.11
4 Zn 0.5000 0.5000 0.1011 [2 per cell]  8 Tb 3.09-3.10
5 Zn 0.5000 0.5000 0.3013 [2 per cell]  8 Tb 3.08-3.11
6 Cu 0.5000 0.5000 0.5000 [1 per cell]  8 Tb 3.05

## Properties
- Total energy: -3.551 eV/atom

(13)
Material: Tb7Zn2Cu2
Method: DFT, PBE-GGA
State: relaxed

Unit cell a=7.5837 b=10.9597 c=7.1230 alpha=90.00 beta=90.00 gamma=90.00
With the nearest neighbours (Å) after each atom.
Space group Cmmm (No. 65)
Symmetry-distinct sites (fractional):
1 Tb 0.0000 0.0000 0.0000 [2 per cell]  2 Cu 3.29
2 Tb 0.0000 0.5000 0.2553 [4 per cell]  2 Cu 2.85, 2 Zn 3.08
3 Tb 0.2500 0.2500 0.2672 [8 per cell]  2 Cu 2.74
4 Zn 0.1655 0.0000 0.5000 [4 per cell]  1 Zn 2.51
5 Cu 0.0000 0.3000 0.0000 [4 per cell]  6 Tb 2.74-2.85

## Properties
- Total energy: -3.913 eV/atom

(14)
Material: TbZn6Cu12
Method: DFT, PBE-GGA
State: relaxed

Unit cell a=10.6005 b=10.6005 c=8.6179 alpha=90.00 beta=90.00 gamma=120.00
With the nearest neighbours (Å) after each atom.
Space group R-3m (No. 166, hexagonal axes)
Symmetry-distinct sites (fractional):
1 Tb 0.0000 0.0000 0.0000 [3 per cell]  6 Cu 2.91
2 Zn 0.0596 0.5298 0.2430 [18 per cell]  8 Cu 2.41-2.68
3 Cu 0.0000 0.3897 0.5000 [18 per cell]  3 Cu 2.34-2.50, 4 Zn 2.41-2.56
4 Cu 0.0850 0.1699 0.2852 [18 per cell]  4 Zn 2.50-2.68, 4 Cu 2.50-2.70

## Properties
- Total energy: -3.197 eV/atom

(15)
Material: TbZnCu2
Method: DFT, PBE-GGA
State: relaxed

Unit cell a=7.4340 b=6.7827 c=5.4908 alpha=90.00 beta=90.00 gamma=90.00
With the nearest neighbours (Å) after each atom.
Space group Pnma (No. 62)
Symmetry-distinct sites (fractional):
1 Tb 0.0409 0.2500 0.1492 [4 per cell]  6 Cu 2.91-3.02, 3 Zn 2.99-3.02
2 Zn 0.1180 0.7500 0.3506 [4 per cell]  6 Cu 2.47-2.57
3 Cu 0.1769 0.0599 0.5870 [8 per cell]  3 Zn 2.47-2.57, 1 Cu 2.58

## Properties
- Total energy: -3.768 eV/atom

(16)
Material: Tb3Zn4Cu4
Method: DFT, PBE-GGA
State: relaxed

Unit cell a=3.6440 b=4.2028 c=13.5718 alpha=81.33 beta=82.38 gamma=89.90
With the nearest neighbours (Å) after each atom.
Space group P-1 (No. 2)
Symmetry-distinct sites (fractional):
1 Tb 0.0000 0.0000 0.0000 [1 per cell]  8 Cu 3.04-3.06, 4 Zn 3.12-3.13
2 Tb 0.1478 0.6470 0.7070 [2 per cell]  6 Cu 3.00-3.21, 6 Zn 3.09-3.19
3 Zn 0.2550 0.2562 0.4903 [2 per cell]  4 Cu 2.52-2.58, 4 Zn 2.78-2.81
4 Zn 0.4029 0.9046 0.1912 [2 per cell]  3 Cu 2.46-2.49
5 Cu 0.3094 0.8116 0.3783 [2 per cell]  5 Zn 2.49-2.58
6 Cu 0.4508 0.4523 0.0941 [2 per cell]  2 Zn 2.46-2.47, 1 Cu 2.50

## Properties
- Total energy: -3.499 eV/atom
- Offset from the most stable computed form: 0 meV per atom

(17)
Material: TbZnCu2
Method: DFT, PBE-GGA
State: relaxed

Unit cell a=3.2183 b=3.2183 c=6.5540 alpha=90.00 beta=90.00 gamma=90.00
With the nearest neighbours (Å) after each atom.
Space group P4/mmm (No. 123)
Symmetry-distinct sites (fractional):
1 Tb 0.0000 0.0000 0.0000 [1 per cell]  8 Cu 3.01, 4 Tb 3.22, 2 Zn 3.28
2 Zn 0.0000 0.0000 0.5000 [1 per cell]  8 Cu 2.63
3 Cu 0.5000 0.5000 0.3000 [2 per cell]  1 Cu 2.62, 4 Zn 2.63

## Properties
- Total energy: -3.633 eV/atom

(18)
Material: Tb2ZnCu3
Method: DFT, PBE-GGA
State: relaxed

Unit cell a=7.0666 b=8.7085 c=14.8290 alpha=90.00 beta=90.00 gamma=90.00
With the nearest neighbours (Å) after each atom.
Space group Fmmm (No. 69)
Symmetry-distinct sites (fractional):
1 Tb 0.2461 0.0000 0.0000 [8 per cell]  10 Cu 3.01-3.08, 2 Zn 3.06
2 Tb 0.2500 0.2500 0.2500 [8 per cell]  8 Cu 3.04-3.07, 4 Zn 3.06
3 Zn 0.0000 0.0000 0.3332 [8 per cell]  3 Cu 2.49-2.50
4 Cu 0.0000 0.0000 0.1654 [8 per cell]  1 Zn 2.49, 2 Cu 2.49
5 Cu 0.0000 0.2499 0.0835 [16 per cell]  2 Cu 2.48-2.49, 1 Zn 2.50

## Properties
- Total energy: -4.080 eV/atom
- Offset from the most stable computed form: 16 meV per atom

(19)
Material: Tb3Zn4Cu2
Method: DFT, PBE-GGA
State: relaxed

Unit cell a=10.4199 b=4.4017 c=8.4498 alpha=90.00 beta=113.31 gamma=90.00
With the nearest neighbours (Å) after each atom.
Space group C2/m (No. 12)
Symmetry-distinct sites (fractional):
1 Tb 0.0000 0.0000 0.0000 [2 per cell]  8 Zn 3.02-3.11, 4 Cu 3.03
2 Tb 0.1755 0.5000 0.6548 [4 per cell]  4 Cu 3.05-3.17, 8 Zn 3.08-3.26
3 Zn 0.0386 0.0000 0.3732 [4 per cell]  2 Cu 2.54, 1 Zn 2.57
4 Zn 0.2243 0.5000 0.0609 [4 per cell]  1 Cu 2.56, 2 Zn 2.57
5 Cu 0.0985 0.5000 0.2673 [4 per cell]  3 Zn 2.54-2.56

## Properties
- Total energy: -3.346 eV/atom
- Offset from the most stable computed form: 0 meV per atom

(20)
Material: TbZn6Cu6
Method: DFT, PBE-GGA
State: relaxed

Unit cell a=4.9320 b=8.6836 c=8.8076 alpha=90.00 beta=90.00 gamma=90.00
With the nearest neighbours (Å) after each atom.
Space group Immm (No. 71)
Symmetry-distinct sites (fractional):
1 Tb 0.0000 0.0000 0.0000 [2 per cell]  8 Zn 3.02-3.09, 12 Cu 3.14-3.33
2 Zn 0.0000 0.0000 0.3511 [4 per cell]  3 Zn 2.62-2.78, 6 Cu 2.65-2.73
3 Zn 0.0000 0.3477 0.0000 [4 per cell]  3 Zn 2.64-2.91, 6 Cu 2.66-2.69
4 Zn 0.0000 0.5000 0.2948 [4 per cell]  6 Cu 2.53-2.66, 2 Zn 2.78
5 Cu 0.0000 0.2758 0.5000 [4 per cell]  4 Cu 2.53, 6 Zn 2.66-2.73
6 Cu 0.2500 0.2500 0.2500 [8 per cell]  4 Cu 2.47-2.53, 6 Zn 2.53-2.66

## Properties
- Total energy: -3.011 eV/atom

(21)
Material: Tb3Zn4Cu2
Method: DFT, PBE-GGA
State: relaxed

Unit cell a=9.6741 b=4.4980 c=8.5295 alpha=90.00 beta=105.25 gamma=90.00
With the nearest neighbours (Å) after each atom.
Space group C2/m (No. 12)
Symmetry-distinct sites (fractional):
1 Tb 0.0000 0.0000 0.0000 [2 per cell]  6 Zn 2.97-3.01
2 Tb 0.1284 0.5000 0.6958 [4 per cell]  4 Cu 2.85-3.18, 6 Zn 3.07-3.13
3 Zn 0.0956 0.0000 0.4171 [4 per cell]  3 Cu 2.51-2.63, 1 Zn 2.61
4 Zn 0.2149 0.5000 0.0688 [4 per cell]  1 Cu 2.45, 2 Zn 2.70
5 Cu 0.1725 0.5000 0.3395 [4 per cell]  4 Zn 2.45-2.63

## Properties
- Total energy: -3.321 eV/atom
- Offset from the most stable computed form: 25 meV per atom

(22)
Material: TbZn2Cu6
Method: DFT, PBE-GGA
State: relaxed

Unit cell a=3.5003 b=6.6501 c=12.1531 alpha=90.00 beta=90.00 gamma=90.00
With the nearest neighbours (Å) after each atom.
Space group Immm (No. 71)
Symmetry-distinct sites (fractional):
1 Tb 0.0000 0.0000 0.0000 [2 per cell]  12 Cu 2.79-3.11
2 Zn 0.0000 0.5000 0.1346 [4 per cell]  10 Cu 2.55-2.77
3 Cu 0.0000 0.1735 0.5000 [4 per cell]  3 Cu 2.31-2.41
4 Cu 0.0000 0.3091 0.3161 [8 per cell]  4 Cu 2.41-2.54, 1 Zn 2.55

## Properties
- Total energy: -3.509 eV/atom